## LiAlRe2 (PBE-GGA)

Data for a geometry-optimized LiAlRe2 structure.

The value obtained for the total energy is -7.82 eV per atom. As for the crystal system: cubic. The magnetic moment is 0.0 μB/f.u.

The space group is F-43m (No. 216) and the conventional cell measures 6.0338, 6.0338 and 6.0338 Å, with angles of 90.00, 90.00 and 90.00 degrees. The asymmetric unit holds Li at (0.0000, 0.0000, 0.0000), Al at (0.2500, 0.2500, 0.7500), Re at (0.0000, 0.0000, 0.5000) and Re at (0.2500, 0.2500, 0.2500).